Record 1
Below is a relaxed TlSnP2Cl crystal, with properties calculated at the PBE level.

abc: 5.108 5.108 5.354
angles: 90.00 90.00 90.00
Element x y z (fractional)
Tl 0.000 0.000 0.000
Sn 0.500 0.500 0.500
P 0.000 0.500 0.000
P 0.500 0.000 0.000
Cl 0.000 0.000 0.500

Results
- Fermi-level density of states (states/eV per cell) = 5.0
- volume (Å³/atom) = 27.937
- SG = P4/mmm
- raw formation energy (meV/atom) = 708


Record 2
Below is a relaxed TlSnP2Cl crystal, with properties calculated at the PBE level.

abc: 5.109 5.109 5.529
angles: 90.00 90.00 90.00
Element x y z (fractional)
Tl 0.000 0.000 0.000
Sn 0.500 0.500 0.500
P 0.000 0.500 0.500
P 0.500 0.000 0.500
Cl 0.500 0.500 0.000

Results
- Fermi-level density of states (states/eV per cell) = 3.7
- volume (Å³/atom) = 28.865
- SG = P4/mmm
- raw formation energy (meV/atom) = 344


Record 3
Below is a relaxed VSnPCl2 crystal, with properties calculated at the PBE level.

abc: 4.730 4.730 4.962
angles: 90.00 90.00 90.00
Element x y z (fractional)
V 0.000 0.000 0.000
Sn 0.500 0.500 0.500
P 0.000 0.000 0.500
Cl 0.000 0.500 0.000
Cl 0.500 0.000 0.000

Results
- Fermi-level density of states (states/eV per cell) = 3.4
- volume (Å³/atom) = 22.199
- SG = P4/mmm
- raw formation energy (meV/atom) = -282